No. 1
Density functional theory data (GGA+U) for a relaxed Ac2InCoO6 crystal.

Unit cell a=5.7671 b=5.7318 c=8.1080 alpha=90.00 beta=89.42 gamma=90.00
Site moments in Bohr magnetons follow the coordinates.
Atoms (fractional coordinates):
Ac: 0.0067 0.9731 0.2515  0.00
Ac: 0.5067 0.5269 0.7515  0.00
Ac: 0.9933 0.0269 0.7485  0.00
Ac: 0.4933 0.4731 0.2485  0.00
In: 0.5000 0.0000 0.5000  0.00
In: 0.0000 0.5000 0.0000  0.00
Co: 0.5000 0.0000 0.0000  -0.06
Co: 0.0000 0.5000 0.5000  -0.06
O: 0.2913 0.7336 0.0403  -0.01
O: 0.7913 0.7664 0.5403  -0.01
O: 0.7087 0.2664 0.9597  -0.01
O: 0.2087 0.2336 0.4597  -0.01
O: 0.2639 0.7117 0.4607  -0.01
O: 0.7639 0.7883 0.9607  -0.01
O: 0.7361 0.2883 0.5393  -0.01
O: 0.2361 0.2117 0.0393  -0.01
O: 0.9276 0.5130 0.2627  0.00
O: 0.4276 0.9870 0.7627  0.00
O: 0.0724 0.4870 0.7373  0.00
O: 0.5724 0.0130 0.2373  0.00

Output
Space group: P2_1/c, No. 14
Total DFT energy (no corrections) in eV/cell: -137.7
Crystal system: monoclinic

***

No. 2
Density functional theory data (GGA+U) for a relaxed Ac6In2CoO crystal.

Unit cell a=7.7791 b=7.7798 c=11.0132 alpha=90.00 beta=90.00 gamma=90.00
Atoms (fractional coordinates):
Ac: 0.5000 0.2498 0.2460
Ac: 0.5000 0.2498 0.7540
Ac: 0.0000 0.7502 0.2540
Ac: 0.0000 0.7502 0.7460
Ac: 0.2462 0.9959 0.5000
Ac: 0.7538 0.9959 0.5000
Ac: 0.2461 0.5036 0.5000
Ac: 0.7539 0.5036 0.5000
Ac: 0.7461 0.4964 0.0000
Ac: 0.2539 0.4964 0.0000
Ac: 0.2538 0.0041 0.0000
Ac: 0.7462 0.0041 0.0000
In: 0.5000 0.7498 0.2500
In: 0.0000 0.2502 0.7500
In: 0.5000 0.7498 0.7500
In: 0.0000 0.2502 0.2500
Co: 0.5000 0.2497 0.5000
Co: 0.0000 0.7503 0.0000
O: 0.0000 0.7497 0.5000
O: 0.5000 0.2503 0.0000

Output
Space group: Pmmn, No. 59
D(E_F) in states/eV per atom: 1.074
Total DFT energy (no corrections) in eV/cell: -91.3
Crystal system: orthorhombic

***

No. 3
Density functional theory data (GGA+U) for a relaxed Ac2InCo2O6 crystal.

Unit cell a=6.0146 b=6.0146 c=6.4220 alpha=62.08 beta=62.08 gamma=60.00
Site moments in Bohr magnetons follow the coordinates.
Atoms (fractional coordinates):
Ac: 0.7863 0.7863 0.6410  0.01
Ac: 0.2137 0.2137 0.3590  0.01
In: 0.0000 0.0000 0.0000  0.00
Co: 0.4269 0.4269 0.7193  2.26
Co: 0.5731 0.5731 0.2807  2.26
O: 0.7554 0.7554 0.2790  0.06
O: 0.2103 0.7554 0.2790  0.06
O: 0.7554 0.2103 0.2790  0.06
O: 0.2446 0.7897 0.7210  0.06
O: 0.7897 0.2446 0.7210  0.06
O: 0.2446 0.2446 0.7210  0.06

Output
Space group: R-3m, No. 166
Total DFT energy (no corrections) in eV/cell: -71.7
Crystal system: trigonal

***

Q: Which total moment values were calculated for the entries above? A: 0.2 0.0 5.0, in μB per cell.